# 1
The following is a DFT calculation (PBE) of a relaxed Ca2AcMg crystal.

The structure in extended XYZ format:
```
4
Lattice="-1.212 2.508 4.973 3.479 -2.984 2.353 3.639 3.536 -0.897" Properties=species:S:1:pos:R:3 pbc="T T T"
Ca 1.740 -1.492 1.177
Mg -0.606 1.254 2.486
Ca 1.820 1.768 -0.448
Ac 2.953 1.530 3.214
```

Formation energy ... 0.033 eV/atom
M_tot ... 0.001 Bohr magnetons per cell
Space group ... No. 123


# 2
The following is a DFT calculation (PBE) of a relaxed NiOs2Br crystal.

The structure in extended XYZ format:
```
4
Lattice="-2.207 0.656 1.531 1.725 -1.974 0.881 5.371 6.843 4.813" Properties=species:S:1:pos:R:3 pbc="T T T"
Os 5.266 6.708 4.719
Ni 3.889 4.602 4.907
Os 0.841 0.719 2.175
Br 2.951 3.759 2.644
```

M_tot ... 0.779 Bohr magnetons per cell
Space group ... No. 35


Number 1: relative energy among the computed polymorphs 55 meV per atom. Number 2: relative energy among the computed polymorphs 275 meV per atom.